1.
PrSO | PBE | optimized geometry

Output
* formation energy from raw total energies: -2.471 eV/atom
* magnetization: 0.000 μB per formula unit
* volume: 58 Å³/f.u.
* final energy: -21.28 eV/f.u.

a = 3.920 Å, b = 4.657 Å, c = 12.650 Å
α = 90.00°, β = 90.00°, γ = 90.00°
Space group Immm (No. 71)
Symmetry-distinct sites (fractional):
Pr 0.000 0.000 0.164 x4
S 0.000 0.222 0.500 x4
O 0.000 0.500 0.233 x4



2.
PrS2O6 | PBE | optimized geometry

Output
* formation energy from raw total energies: -1.594 eV/atom
* magnetization: 1.007 μB per formula unit
* volume: 182 Å³/f.u.
* final energy: -57.13 eV/f.u.

a = 5.6150 Å, b = 5.6150 Å, c = 19.9527 Å
α = 90.00°, β = 90.00°, γ = 120.00°
Space group R3 (No. 146, hexagonal axes)
Symmetry-distinct sites (fractional):
Pr 0.0000 0.0000 0.0000 x3
S 0.0000 0.0000 0.2692 x3
S 0.0000 0.0000 0.3973 x3
O 0.1827 0.3677 0.0861 x9
O 0.1827 0.8151 0.9140 x9



3.
PrSO | PBE | optimized geometry

Output
* formation energy from raw total energies: -2.524 eV/atom
* magnetization: 0.000 μB per formula unit
* volume: 57 Å³/f.u.
* final energy: -21.44 eV/f.u.

a = 13.147 Å, b = 5.913 Å, c = 5.906 Å
α = 90.00°, β = 90.00°, γ = 90.00°
Space group Cmce (No. 64)
Symmetry-distinct sites (fractional):
Pr 0.161 0.000 0.000 x8
S 0.000 0.126 0.374 x8
O 0.250 0.245 0.750 x8



4.
Pr3SO3 | PBE | optimized geometry

Output
* formation energy from raw total energies: -2.514 eV/atom
* magnetization: 0.987 μB per formula unit
* volume: 189 Å³/f.u.
* final energy: -50.94 eV/f.u.
* energy above the most stable polymorph in this dataset: 0.423 eV/atom

a = 8.2303 Å, b = 8.2303 Å, c = 9.6846 Å
α = 90.00°, β = 90.00°, γ = 120.00°
Space group R3m (No. 160, hexagonal axes)
Symmetry-distinct sites (fractional):
Pr 0.0329 0.5165 0.0000 x9
S 0.0000 0.0000 0.7883 x3
O 0.1939 0.3878 0.1028 x9



5.
PrSO | PBE | optimized geometry

Output
* formation energy from raw total energies: -2.385 eV/atom
* magnetization: 0.000 μB per formula unit
* volume: 60 Å³/f.u.
* final energy: -21.02 eV/f.u.

a = 6.772 Å, b = 4.294 Å, c = 8.326 Å
α = 90.00°, β = 93.81°, γ = 90.00°
Space group C2/m (No. 12)
Symmetry-distinct sites (fractional):
Pr 0.189 0.000 0.179 x4
S 0.072 0.500 0.394 x4
O 0.167 0.000 0.893 x4



6.
Pr2S2O | PBE | optimized geometry

Output
* formation energy from raw total energies: -2.520 eV/atom
* magnetization: 0.000 μB per formula unit
* volume: 113 Å³/f.u.
* final energy: -35.37 eV/f.u.
* energy above the most stable polymorph in this dataset: 0.026 eV/atom

a = 4.034 Å, b = 15.360 Å, c = 7.275 Å
α = 90.00°, β = 90.00°, γ = 90.00°
Space group Cmc2_1 (No. 36)
Symmetry-distinct sites (fractional):
Pr 0.000 0.053 0.000 x4
Pr 0.000 0.335 0.901 x4
S 0.000 0.299 0.518 x4
S 0.000 0.456 0.196 x4
O 0.000 0.094 0.335 x4



7.
Pr3S2O2 | PBE | optimized geometry

Output
* formation energy from raw total energies: -2.632 eV/atom
* magnetization: 0.607 μB per formula unit
* volume: 147 Å³/f.u.
* final energy: -50.93 eV/f.u.
* energy above the most stable polymorph in this dataset: 0.000 eV/atom

a = 15.195 Å, b = 3.949 Å, c = 11.487 Å
α = 90.00°, β = 121.73°, γ = 90.00°
Space group C2/m (No. 12)
Symmetry-distinct sites (fractional):
Pr 0.102 0.000 0.166 x4
Pr 0.103 0.500 0.460 x4
Pr 0.137 0.000 0.793 x4
S 0.105 0.500 0.970 x4
S 0.243 0.500 0.346 x4
O 0.047 0.000 0.321 x4
O 0.080 0.500 0.650 x4



8.
PrSO | PBE | optimized geometry

Output
* formation energy from raw total energies: -2.475 eV/atom
* magnetization: 0.000 μB per formula unit
* volume: 61 Å³/f.u.
* final energy: -21.29 eV/f.u.

a = 4.025 Å, b = 4.025 Å, c = 15.049 Å
α = 90.00°, β = 90.00°, γ = 90.00°
Space group I4/mmm (No. 139)
Symmetry-distinct sites (fractional):
Pr 0.000 0.000 0.167 x4
S 0.000 0.000 0.430 x4
O 0.000 0.500 0.250 x4